[1]
The following is a DFT calculation (PBE-GGA) of a relaxed structure of SrY4.

## Properties
**Formation energy**: 0.96 eV per atom

```
SrY4
1.0
5.688 0.000 0.000
0.000 5.688 0.000
0.000 0.000 5.688
Sr Y
1 4
direct
0.000 0.000 0.000 Sr
0.000 0.000 0.500 Y
0.000 0.500 0.000 Y
0.500 0.000 0.000 Y
0.500 0.500 0.500 Y
```

***

[2]
The following is a DFT calculation (PBE-GGA) of a relaxed structure of SrY2.

## Properties
**Formation energy**: 0.23 eV per atom
**ΔE to the lowest computed polymorph**: 9.79 kJ/mol of atoms

```
SrY2
1.0
6.928 0.000 0.000
-3.464 6.000 0.000
0.000 0.000 11.560
Sr Y
4 8
direct
0.333 0.667 0.062 Sr
0.333 0.667 0.438 Sr
0.667 0.333 0.562 Sr
0.667 0.333 0.938 Sr
0.000 0.000 0.000 Y
0.000 0.000 0.500 Y
0.163 0.327 0.750 Y
0.163 0.837 0.750 Y
0.327 0.163 0.250 Y
0.673 0.837 0.750 Y
0.837 0.163 0.250 Y
0.837 0.673 0.250 Y
```

***

[3]
The following is a DFT calculation (PBE-GGA) of a relaxed structure of Sr3Y5.

## Properties
**Formation energy**: 0.24 eV per atom
**ΔE to the lowest computed polymorph**: 0.00 kJ/mol of atoms

```
Sr3Y5
1.0
5.308 -5.482 0.000
5.308 5.482 0.000
0.000 0.000 5.214
Sr Y
3 5
direct
0.000 0.000 0.000 Sr
0.253 0.253 0.500 Sr
0.747 0.747 0.500 Sr
0.000 0.500 0.000 Y
0.265 0.735 0.500 Y
0.500 0.000 0.000 Y
0.500 0.500 0.000 Y
0.735 0.265 0.500 Y
```

***

[4]
The following is a DFT calculation (PBE-GGA) of a relaxed structure of SrY3.

## Properties
**Formation energy**: 0.17 eV per atom

```
SrY3
1.0
6.110 -1.831 0.000
6.110 1.831 0.000
-1.130 0.000 6.409
Sr Y
1 3
direct
0.000 0.000 0.000 Sr
0.242 0.242 0.730 Y
0.500 0.500 0.500 Y
0.758 0.758 0.270 Y
```